# 1
Compound: ReAs2IrBr
Source: Alexandria via LeMat-Bulk
Functional: PBE
Structure: relaxed

Cell lengths 4.740, 4.740, 5.161 Å; angles 90.00, 90.00, 90.00 degrees
Space group P4/mmm (No. 123)
Symmetry-distinct sites (fractional):
Re  0.000  0.000  0.000 [1 per cell]
As  0.000  0.500  0.000 [2 per cell]
Ir  0.500  0.500  0.500 [1 per cell]
Br  0.000  0.000  0.500 [1 per cell]

## Properties
**Energy above the lowest structure with this stoichiometry**: 0.000 eV/atom
**Energy relative to the elements, uncorrected**: 1.366 eV per atom
**Magnetic moment**: 1.52 μB/f.u.
**D(E_F)**: 4.5 states/eV/f.u.

=====

# 2
Compound: As2IrRhBr
Source: Alexandria via LeMat-Bulk
Functional: PBE
Structure: relaxed

Cell lengths 4.706, 4.706, 5.289 Å; angles 90.00, 90.00, 90.00 degrees
Space group P4/mmm (No. 123)
Symmetry-distinct sites (fractional):
As  0.000  0.500  0.000 [2 per cell]
Ir  0.000  0.000  0.000 [1 per cell]
Rh  0.500  0.500  0.500 [1 per cell]
Br  0.000  0.000  0.500 [1 per cell]

## Properties
**Energy above the lowest structure with this stoichiometry**: 0.000 eV/atom
**Energy relative to the elements, uncorrected**: 0.916 eV per atom
**Magnetic moment**: 1.15 μB/f.u.
**D(E_F)**: 5.2 states/eV/f.u.

=====

# 3
Compound: AsIrRuBr2
Source: Alexandria via LeMat-Bulk
Functional: PBE
Structure: relaxed

Cell lengths 5.035, 5.035, 4.654 Å; angles 90.00, 90.00, 90.00 degrees
Space group P4/mmm (No. 123)
Symmetry-distinct sites (fractional):
As  0.000  0.000  0.000 [1 per cell]
Ir  0.500  0.500  0.000 [1 per cell]
Ru  0.000  0.000  0.500 [1 per cell]
Br  0.000  0.500  0.500 [2 per cell]

## Properties
**Energy above the lowest structure with this stoichiometry**: 0.166 eV/atom
**Energy relative to the elements, uncorrected**: 1.267 eV per atom
**Magnetic moment**: 2.00 μB/f.u.
**D(E_F)**: 7.8 states/eV/f.u.

=====

# 4
Compound: AsIrRuBr2
Source: Alexandria via LeMat-Bulk
Functional: PBE
Structure: relaxed

Cell lengths 5.296, 5.296, 4.598 Å; angles 90.00, 90.00, 90.00 degrees
Space group P4/mmm (No. 123)
Symmetry-distinct sites (fractional):
As  0.000  0.000  0.000 [1 per cell]
Ir  0.000  0.000  0.500 [1 per cell]
Ru  0.500  0.500  0.000 [1 per cell]
Br  0.000  0.500  0.500 [2 per cell]

## Properties
**Energy above the lowest structure with this stoichiometry**: 0.000 eV/atom
**Energy relative to the elements, uncorrected**: 1.101 eV per atom
**Magnetic moment**: 3.02 μB/f.u.
**D(E_F)**: 2.1 states/eV/f.u.

=====

# 5
Compound: As2IrRuBr
Source: Alexandria via LeMat-Bulk
Functional: PBE
Structure: relaxed

Cell lengths 4.740, 4.740, 5.232 Å; angles 90.00, 90.00, 90.00 degrees
Space group P4/mmm (No. 123)
Symmetry-distinct sites (fractional):
As  0.000  0.500  0.000 [2 per cell]
Ir  0.000  0.000  0.000 [1 per cell]
Ru  0.500  0.500  0.500 [1 per cell]
Br  0.000  0.000  0.500 [1 per cell]

## Properties
**Energy above the lowest structure with this stoichiometry**: 0.000 eV/atom
**Energy relative to the elements, uncorrected**: 1.123 eV per atom
**Magnetic moment**: 2.22 μB/f.u.
**D(E_F)**: 3.9 states/eV/f.u.

=====

# 6
Compound: SbAsIrBr2
Source: Alexandria via LeMat-Bulk
Functional: PBE
Structure: relaxed

Cell lengths 5.139, 5.139, 4.777 Å; angles 90.00, 90.00, 90.00 degrees
Space group P4/mmm (No. 123)
Symmetry-distinct sites (fractional):
Sb  0.000  0.000  0.000 [1 per cell]
As  0.500  0.500  0.000 [1 per cell]
Ir  0.500  0.500  0.500 [1 per cell]
Br  0.000  0.500  0.500 [2 per cell]

## Properties
**Energy above the lowest structure with this stoichiometry**: 0.000 eV/atom
**Energy relative to the elements, uncorrected**: 0.473 eV per atom
**Magnetic moment**: 0.00 μB/f.u.
**D(E_F)**: 4.7 states/eV/f.u.

=====

# 7
Compound: SbAsIrBr2
Source: Alexandria via LeMat-Bulk
Functional: PBE
Structure: relaxed

Cell lengths 4.941, 4.941, 5.926 Å; angles 90.00, 90.00, 90.00 degrees
Space group P4/mmm (No. 123)
Symmetry-distinct sites (fractional):
Sb  0.000  0.000  0.000 [1 per cell]
As  0.000  0.000  0.500 [1 per cell]
Ir  0.500  0.500  0.000 [1 per cell]
Br  0.000  0.500  0.500 [2 per cell]

## Properties
**Energy above the lowest structure with this stoichiometry**: 0.677 eV/atom
**Energy relative to the elements, uncorrected**: 1.151 eV per atom
**Magnetic moment**: 1.37 μB/f.u.
**D(E_F)**: 8.4 states/eV/f.u.

=====

# 8
Compound: ScAs2IrBr
Source: Alexandria via LeMat-Bulk
Functional: PBE
Structure: relaxed

Cell lengths 4.787, 4.787, 5.246 Å; angles 90.00, 90.00, 90.00 degrees
Space group P4/mmm (No. 123)
Symmetry-distinct sites (fractional):
Sc  0.000  0.000  0.000 [1 per cell]
As  0.000  0.500  0.500 [2 per cell]
Ir  0.500  0.500  0.500 [1 per cell]
Br  0.500  0.500  0.000 [1 per cell]

## Properties
**Energy above the lowest structure with this stoichiometry**: 0.000 eV/atom
**Energy relative to the elements, uncorrected**: 0.243 eV per atom
**Magnetic moment**: 0.05 μB/f.u.
**D(E_F)**: 6.7 states/eV/f.u.

=====

# 9
Compound: ScAs2IrBr
Source: Alexandria via LeMat-Bulk
Functional: PBE
Structure: relaxed

Cell lengths 5.116, 5.116, 4.930 Å; angles 90.00, 90.00, 90.00 degrees
Space group P4/mmm (No. 123)
Symmetry-distinct sites (fractional):
Sc  0.000  0.000  0.000 [1 per cell]
As  0.000  0.500  0.000 [2 per cell]
Ir  0.500  0.500  0.500 [1 per cell]
Br  0.000  0.000  0.500 [1 per cell]

## Properties
**Energy above the lowest structure with this stoichiometry**: 0.595 eV/atom
**Energy relative to the elements, uncorrected**: 0.837 eV per atom
**Magnetic moment**: 1.06 μB/f.u.
**D(E_F)**: 4.5 states/eV/f.u.

=====

# 10
Compound: AsIrSe2Br
Source: Alexandria via LeMat-Bulk
Functional: PBE
Structure: relaxed

Cell lengths 5.053, 5.053, 4.990 Å; angles 90.00, 90.00, 90.00 degrees
Space group P4/mmm (No. 123)
Symmetry-distinct sites (fractional):
As  0.000  0.000  0.000 [1 per cell]
Ir  0.500  0.500  0.500 [1 per cell]
Se  0.000  0.500  0.000 [2 per cell]
Br  0.000  0.000  0.500 [1 per cell]

## Properties
**Energy above the lowest structure with this stoichiometry**: 0.764 eV/atom
**Energy relative to the elements, uncorrected**: 1.287 eV per atom
**Magnetic moment**: 2.78 μB/f.u.
**D(E_F)**: 6.9 states/eV/f.u.

=====

# 11
Compound: AsIrSe2Br
Source: Alexandria via LeMat-Bulk
Functional: PBE
Structure: relaxed

Cell lengths 4.935, 4.935, 4.942 Å; angles 90.00, 90.00, 90.00 degrees
Space group P4/mmm (No. 123)
Symmetry-distinct sites (fractional):
As  0.000  0.000  0.000 [1 per cell]
Ir  0.000  0.000  0.500 [1 per cell]
Se  0.000  0.500  0.500 [2 per cell]
Br  0.500  0.500  0.000 [1 per cell]

## Properties
**Energy above the lowest structure with this stoichiometry**: 0.000 eV/atom
**Energy relative to the elements, uncorrected**: 0.523 eV per atom
**Magnetic moment**: 0.00 μB/f.u.
**D(E_F)**: 5.6 states/eV/f.u.

=====

# 12
Compound: AsIrSe2Br
Source: Alexandria via LeMat-Bulk
Functional: PBE
Structure: relaxed

Cell lengths 4.901, 4.901, 4.978 Å; angles 90.00, 90.00, 90.00 degrees
Space group P4/mmm (No. 123)
Symmetry-distinct sites (fractional):
As  0.000  0.000  0.000 [1 per cell]
Ir  0.500  0.500  0.500 [1 per cell]
Se  0.000  0.500  0.500 [2 per cell]
Br  0.500  0.500  0.000 [1 per cell]

## Properties
**Energy above the lowest structure with this stoichiometry**: 0.100 eV/atom
**Energy relative to the elements, uncorrected**: 0.623 eV per atom
**Magnetic moment**: 0.00 μB/f.u.
**D(E_F)**: 3.8 states/eV/f.u.

=====

Which value of energy relative to the elements, uncorrected does entry 7 give? 1.151 eV per atom

=====

Look up the energy above the lowest structure with this stoichiometry of the ninth one. 0.595 eV/atom

=====

Number 10 is which compound? AsIrSe2Br

=====

Which of these has the highest energy relative to the elements, uncorrected? ReAs2IrBr